The following is a PBE calculation of SmTh2WN5 after structural relaxation, from Alexandria.

Uncorrected formation energy (eV/atom): -1.108
V (Å³ per cell): 278.3
Crystal system: tetragonal

Cell lengths 5.927, 6.852, 6.852 Å; angles 90.00, 90.00, 90.00 degrees
Fractional coordinates of all 18 atoms:
1 Sm 0.000 0.500 0.500
2 Sm 0.000 0.000 0.000
3 Th 0.500 0.672 0.172
4 Th 0.500 0.172 0.328
5 Th 0.500 0.828 0.672
6 Th 0.500 0.328 0.828
7 W 0.000 0.000 0.500
8 W 0.000 0.500 0.000
9 N 0.500 0.500 0.500
10 N 0.500 0.000 0.000
11 N 0.235 0.143 0.643
12 N 0.235 0.857 0.357
13 N 0.235 0.357 0.143
14 N 0.235 0.643 0.857
15 N 0.765 0.143 0.643
16 N 0.765 0.643 0.857
17 N 0.765 0.857 0.357
18 N 0.765 0.357 0.143

***

The following is a PBE calculation of PuGa3Mo after structural relaxation, from Alexandria.

V (Å³ per cell): 194.5
Crystal system: hexagonal
Formation energy (eV per formula unit): -1.1

Cell lengths 5.597, 6.335, 6.335 Å; angles 120.00, 90.00, 90.00 degrees
Fractional coordinates of all 10 atoms:
1 Pu 0.750 0.333 0.667
2 Pu 0.250 0.667 0.333
3 Ga 0.750 0.803 0.607
4 Ga 0.250 0.197 0.803
5 Ga 0.750 0.393 0.197
6 Ga 0.250 0.607 0.803
7 Ga 0.250 0.197 0.393
8 Ga 0.750 0.803 0.197
9 Mo 0.500 0.000 0.000
10 Mo 0.000 0.000 0.000

***

The following is a PBE calculation of GeB2Au after structural relaxation, from Alexandria.

V (Å³ per cell): 119.8
Crystal system: tetragonal
Formation energy (eV per formula unit): 2.9

Cell lengths 4.992, 4.992, 5.964 Å; angles 65.26, 65.26, 90.00 degrees
Fractional coordinates of all 8 atoms:
1 Ge 0.500 0.500 0.000
2 Ge 0.250 0.750 0.500
3 B 0.613 0.125 0.250
4 B 0.137 0.625 0.250
5 B 0.375 0.387 0.750
6 B 0.875 0.863 0.750
7 Au 0.000 0.000 0.000
8 Au 0.750 0.250 0.500

***

The following is a PBE calculation of CrAsCSe2 after structural relaxation, from Alexandria.

Uncorrected formation energy (eV/atom): 1.529
V (Å³ per cell): 103.1
Crystal system: tetragonal

Cell lengths 4.669, 4.669, 4.730 Å; angles 90.00, 90.00, 90.00 degrees
Fractional coordinates of all 5 atoms:
1 Cr 0.000 0.000 0.000
2 As 0.000 0.000 0.500
3 C 0.500 0.500 0.500
4 Se 0.000 0.500 0.000
5 Se 0.500 0.000 0.000

***

The following is a PBE calculation of TmAlFe2H8 after structural relaxation, from Alexandria.

Total DFT energy (no corrections) (eV per atom): -4.259
V (Å³ per cell): 103.0
Crystal system: trigonal

Cell lengths 4.350, 4.350, 6.285 Å; angles 90.00, 90.00, 120.00 degrees
Fractional coordinates of all 12 atoms:
1 Tm 0.000 0.000 0.500
2 Al 0.000 0.000 0.000
3 Fe 0.333 0.667 0.850
4 Fe 0.667 0.333 0.150
5 H 0.145 0.289 0.778
6 H 0.145 0.855 0.778
7 H 0.711 0.855 0.778
8 H 0.289 0.145 0.222
9 H 0.667 0.333 0.401
10 H 0.333 0.667 0.599
11 H 0.855 0.711 0.222
12 H 0.855 0.145 0.222

***

The following is a PBE calculation of PuTc4Ge2 after structural relaxation, from Alexandria.

V (Å³ per cell): 121.6
Crystal system: orthorhombic
Formation energy (eV per formula unit): -1.8

Cell lengths 4.085, 4.141, 7.479 Å; angles 106.07, 90.00, 90.00 degrees
Fractional coordinates of all 7 atoms:
1 Ge 0.500 0.587 0.175
2 Ge 0.500 0.413 0.825
3 Tc 0.500 0.808 0.616
4 Tc 0.000 0.698 0.396
5 Tc 0.500 0.192 0.384
6 Tc 0.000 0.302 0.604
7 Pu 0.000 0.000 0.000

***

The following is a PBE calculation of MgPtW4 after structural relaxation, from Alexandria.

V (Å³ per cell): 104.7
Crystal system: cubic
Formation energy (eV per formula unit): 2.6

Cell lengths 5.290, 5.290, 5.290 Å; angles 60.00, 60.00, 60.00 degrees
Fractional coordinates of all 6 atoms:
1 Mg 0.250 0.250 0.250
2 Pt 0.000 0.000 0.000
3 W 0.623 0.623 0.130
4 W 0.623 0.130 0.623
5 W 0.623 0.623 0.623
6 W 0.130 0.623 0.623

***

The following is a PBE calculation of CoPt4Cl after structural relaxation, from Alexandria.

Uncorrected formation energy (eV/atom): 0.611
V (Å³ per cell): 105.2
Crystal system: cubic

Cell lengths 5.299, 5.299, 5.299 Å; angles 60.00, 60.00, 60.00 degrees
Fractional coordinates of all 6 atoms:
1 Co 0.000 0.000 0.000
2 Pt 0.625 0.625 0.124
3 Pt 0.625 0.124 0.625
4 Pt 0.625 0.625 0.625
5 Pt 0.124 0.625 0.625
6 Cl 0.250 0.250 0.250

***

The following is a PBE calculation of AcLuGaPb after structural relaxation, from Alexandria.

V (Å³ per cell): 116.5
Crystal system: cubic
Formation energy (eV per formula unit): -1.4

Cell lengths 5.482, 5.482, 5.482 Å; angles 60.00, 60.00, 60.00 degrees
Fractional coordinates of all 4 atoms:
1 Pb 0.750 0.750 0.750
2 Ac 0.000 0.000 0.000
3 Lu 0.500 0.500 0.500
4 Ga 0.250 0.250 0.250

***

The following is a PBE calculation of Ce4ScBi5 after structural relaxation, from Alexandria.

V (Å³ per cell): 331.4
Crystal system: tetragonal
Formation energy (eV per formula unit): -7.3

Cell lengths 4.554, 4.554, 16.304 Å; angles 98.03, 98.03, 90.00 degrees
Fractional coordinates of all 10 atoms:
1 Ce 0.401 0.401 0.803
2 Ce 0.802 0.802 0.604
3 Ce 0.198 0.198 0.396
4 Ce 0.599 0.599 0.197
5 Sc 0.000 0.000 0.000
6 Bi 0.095 0.095 0.191
7 Bi 0.500 0.500 0.000
8 Bi 0.905 0.905 0.809
9 Bi 0.300 0.300 0.600
10 Bi 0.700 0.700 0.400

***

The following is a PBE calculation of LaAgAs2Se after structural relaxation, from Alexandria.

Uncorrected formation energy (eV/atom): -0.221
V (Å³ per cell): 127.6
Crystal system: tetragonal

Cell lengths 4.968, 4.968, 5.170 Å; angles 90.00, 90.00, 90.00 degrees
Fractional coordinates of all 5 atoms:
1 As 0.000 0.500 0.000
2 As 0.500 0.000 0.000
3 Se 0.000 0.000 0.500
4 Ag 0.000 0.000 0.000
5 La 0.500 0.500 0.500

***

The following is a PBE calculation of YPd4Au3 after structural relaxation, from Alexandria.

V (Å³ per cell): 193.5
Crystal system: orthorhombic
Formation energy (eV per formula unit): 0.4

Cell lengths 6.897, 6.897, 6.897 Å; angles 77.71, 119.96, 135.52 degrees
Fractional coordinates of all 8 atoms:
1 Y 0.979 0.500 0.479
2 Pd 0.543 0.128 0.671
3 Pd 0.543 0.872 0.415
4 Pd 0.586 0.754 0.832
5 Pd 0.078 0.246 0.832
6 Au 0.612 0.366 0.977
7 Au 0.198 0.000 0.198
8 Au 0.612 0.634 0.246

***

The following is a PBE calculation of CsSrMnAg2 after structural relaxation, from Alexandria.

V (Å³ per cell): 167.1
Crystal system: tetragonal
Formation energy (eV per formula unit): 2.4

Cell lengths 5.430, 5.666, 5.430 Å; angles 90.00, 90.00, 90.00 degrees
Fractional coordinates of all 5 atoms:
1 Cs 0.500 0.500 0.500
2 Sr 0.000 0.500 0.000
3 Mn 0.000 0.000 0.000
4 Ag 0.000 0.000 0.500
5 Ag 0.500 0.000 0.000

***

The following is a PBE calculation of CuBPb2 after structural relaxation, from Alexandria.

V (Å³ per cell): 192.2
Crystal system: tetragonal
Formation energy (eV per formula unit): 3.3

Cell lengths 6.197, 6.197, 6.652 Å; angles 62.24, 62.24, 90.00 degrees
Fractional coordinates of all 8 atoms:
1 Pb 0.579 0.125 0.250
2 Pb 0.171 0.625 0.250
3 Pb 0.375 0.421 0.750
4 Pb 0.875 0.829 0.750
5 B 0.500 0.500 0.000
6 B 0.250 0.750 0.500
7 Cu 0.000 0.000 0.000
8 Cu 0.750 0.250 0.500

***

The following is a PBE calculation of InCu7 after structural relaxation, from Alexandria.

V (Å³ per cell): 105.6
Crystal system: cubic
Formation energy (eV per formula unit): 0.3

Cell lengths 5.305, 5.305, 5.305 Å; angles 60.00, 60.00, 60.00 degrees
Fractional coordinates of all 8 atoms:
1 Cu 0.500 0.000 0.500
2 Cu 0.000 0.500 0.500
3 Cu 0.000 0.000 0.500
4 Cu 0.000 0.500 0.000
5 Cu 0.500 0.000 0.000
6 Cu 0.500 0.500 0.000
7 Cu 0.500 0.500 0.500
8 In 0.000 0.000 0.000

***

The following is a PBE calculation of PrGdCuOs after structural relaxation, from Alexandria.

V (Å³ per cell): 87.2
Crystal system: cubic
Formation energy (eV per formula unit): -0.4

Cell lengths 4.977, 4.977, 4.977 Å; angles 60.00, 60.00, 60.00 degrees
Fractional coordinates of all 4 atoms:
1 Pr 0.500 0.500 0.500
2 Gd 0.000 0.000 0.000
3 Os 0.750 0.750 0.750
4 Cu 0.250 0.250 0.250

***

The following is a PBE calculation of CoHgSbTe2 after structural relaxation, from Alexandria.

Uncorrected formation energy (eV/atom): 0.331
V (Å³ per cell): 132.3
Crystal system: tetragonal

Cell lengths 5.284, 5.284, 4.739 Å; angles 90.00, 90.00, 90.00 degrees
Fractional coordinates of all 5 atoms:
1 Sb 0.000 0.000 0.500
2 Te 0.000 0.500 0.000
3 Te 0.500 0.000 0.000
4 Co 0.000 0.000 0.000
5 Hg 0.500 0.500 0.500

***

The following is a PBE calculation of Mg2NbNi after structural relaxation, from Alexandria.

V (Å³ per cell): 67.1
Crystal system: cubic
Formation energy (eV per formula unit): 1.5

Cell lengths 4.561, 4.561, 4.561 Å; angles 60.00, 60.00, 60.00 degrees
Fractional coordinates of all 4 atoms:
1 Ni 0.000 0.000 0.000
2 Nb 0.500 0.500 0.500
3 Mg 0.250 0.250 0.250
4 Mg 0.750 0.750 0.750

***

The following is a PBE calculation of UCoIr after structural relaxation, from Alexandria.

V (Å³ per cell): 103.2
Crystal system: tetragonal
Formation energy (eV per formula unit): -0.4

Cell lengths 3.638, 3.638, 7.797 Å; angles 90.00, 90.00, 90.00 degrees
Fractional coordinates of all 6 atoms:
1 U 0.000 0.500 0.244
2 U 0.500 0.000 0.756
3 Co 0.500 0.000 0.045
4 Co 0.000 0.500 0.955
5 Ir 0.000 0.500 0.606
6 Ir 0.500 0.000 0.394

***

The following is a PBE calculation of HoTm5Th4 after structural relaxation, from Alexandria.

V (Å³ per cell): 660.8
Crystal system: orthorhombic
Formation energy (eV per formula unit): 4.0

Cell lengths 8.521, 11.657, 6.653 Å; angles 90.00, 90.00, 90.00 degrees
Fractional coordinates of all 20 atoms:
1 Ho 0.455 0.000 0.000
2 Ho 0.545 0.500 0.500
3 Tm 0.184 0.783 0.759
4 Tm 0.184 0.217 0.759
5 Tm 0.792 0.500 0.000
6 Tm 0.184 0.783 0.241
7 Tm 0.184 0.217 0.241
8 Tm 0.816 0.717 0.259
9 Tm 0.816 0.283 0.259
10 Tm 0.208 0.000 0.500
11 Tm 0.816 0.283 0.741
12 Tm 0.816 0.717 0.741
13 Th 0.860 0.000 0.748
14 Th 0.468 0.646 0.000
15 Th 0.468 0.354 0.000
16 Th 0.860 0.000 0.252
17 Th 0.140 0.500 0.248
18 Th 0.532 0.854 0.500
19 Th 0.532 0.146 0.500
20 Th 0.140 0.500 0.752

***

The following is a PBE calculation of ScSi2Os after structural relaxation, from Alexandria.

Uncorrected formation energy (eV/atom): -0.065
V (Å³ per cell): 60.5
Crystal system: cubic

Cell lengths 4.406, 4.406, 4.406 Å; angles 60.00, 60.00, 60.00 degrees
Fractional coordinates of all 4 atoms:
1 Os 0.500 0.500 0.500
2 Sc 0.250 0.250 0.250
3 Si 0.000 0.000 0.000
4 Si 0.750 0.750 0.750

***

The following is a PBE calculation of Dy3Tl2Ni after structural relaxation, from Alexandria.

V (Å³ per cell): 326.1
Crystal system: monoclinic
Formation energy (eV per formula unit): -1.4

Cell lengths 7.730, 6.656, 7.904 Å; angles 84.24, 80.05, 54.50 degrees
Fractional coordinates of all 12 atoms:
1 Dy 0.454 0.644 0.776
2 Dy 0.329 0.000 0.170
3 Dy 0.546 0.356 0.224
4 Dy 0.903 0.644 0.224
5 Dy 0.097 0.356 0.776
6 Dy 0.671 0.000 0.830
7 Tl 0.000 0.000 0.000
8 Tl 0.500 0.000 0.500
9 Tl 0.140 0.720 0.500
10 Tl 0.860 0.280 0.500
11 Ni 0.710 0.580 0.000
12 Ni 0.290 0.420 0.000

***

The following is a PBE calculation of CeSm12Tm6 after structural relaxation, from Alexandria.

V (Å³ per cell): 616.4
Crystal system: trigonal
Formation energy (eV per formula unit): 0.6

Cell lengths 9.475, 9.475, 9.475 Å; angles 110.95, 110.95, 110.95 degrees
Fractional coordinates of all 19 atoms:
1 Ce 0.000 0.000 0.000
2 Sm 0.372 0.057 0.580
3 Sm 0.057 0.580 0.372
4 Sm 0.580 0.372 0.057
5 Sm 0.628 0.943 0.420
6 Sm 0.943 0.420 0.628
7 Sm 0.420 0.628 0.943
8 Sm 0.105 0.157 0.739
9 Sm 0.261 0.895 0.843
10 Sm 0.843 0.261 0.895
11 Sm 0.895 0.843 0.261
12 Sm 0.739 0.105 0.157
13 Sm 0.157 0.739 0.105
14 Tm 0.213 0.316 0.471
15 Tm 0.684 0.529 0.787
16 Tm 0.529 0.787 0.684
17 Tm 0.787 0.684 0.529
18 Tm 0.316 0.471 0.213
19 Tm 0.471 0.213 0.316

***

The following is a PBE calculation of Na2YCoTe after structural relaxation, from Alexandria.

Uncorrected formation energy (eV/atom): 0.800
V (Å³ per cell): 167.5
Crystal system: tetragonal

Cell lengths 6.116, 4.477, 6.116 Å; angles 90.00, 90.00, 90.00 degrees
Fractional coordinates of all 5 atoms:
1 Y 0.000 0.000 0.000
2 Na 0.000 0.000 0.500
3 Na 0.500 0.000 0.000
4 Te 0.500 0.500 0.500
5 Co 0.000 0.500 0.000